TePPb: optimized geometry, GGA-PBEsol.

Values from the calculation:
crystal system = cubic
energy above the most stable polymorph in this dataset = 516 meV per atom
E_tot = -3.829 eV/atom
space group = F-43m (216)

Geometry as CIF:
```
data_TePPb
_chemical_formula_sum 'Te1 P1 Pb1'
_space_group_name_H-M_alt 'P 1'
_space_group_IT_number 1
_space_group_name_Hall 'P 1'
_cell_length_a 4.9942
_cell_length_b 4.9942
_cell_length_c 4.9942
_cell_angle_alpha 60.00
_cell_angle_beta 60.00
_cell_angle_gamma 60.00
loop_
_atom_site_label
_atom_site_type_symbol
_atom_site_fract_x
_atom_site_fract_y
_atom_site_fract_z
Pb1 Pb 0.2500 0.2500 0.2500
Te1 Te 0.0000 0.0000 0.0000
P1 P 0.5000 0.5000 0.5000
```

TePPb3: optimized geometry, GGA-PBEsol.

Values from the calculation:
crystal system = cubic
E_tot = -3.326 eV/atom
space group = Pm-3m (221)

Geometry as CIF:
```
data_TePPb3
_chemical_formula_sum 'Te1 P1 Pb3'
_space_group_name_H-M_alt 'P 1'
_space_group_IT_number 1
_space_group_name_Hall 'P 1'
_cell_length_a 5.8126
_cell_length_b 5.8126
_cell_length_c 5.8126
_cell_angle_alpha 90.00
_cell_angle_beta 90.00
_cell_angle_gamma 90.00
loop_
_atom_site_label
_atom_site_type_symbol
_atom_site_fract_x
_atom_site_fract_y
_atom_site_fract_z
Te1 Te 0.0000 0.0000 0.0000
P1 P 0.5000 0.5000 0.5000
Pb1 Pb 0.5000 0.0000 0.0000
Pb2 Pb 0.0000 0.0000 0.5000
Pb3 Pb 0.0000 0.5000 0.0000
```

Tl2P2Pb: optimized geometry, GGA-PBEsol.

Values from the calculation:
crystal system = tetragonal
E_tot = -3.949 eV/atom
space group = I4/mmm (139)

Geometry as CIF:
```
data_Tl2P2Pb
_chemical_formula_sum 'Tl2 P2 Pb1'
_space_group_name_H-M_alt 'P 1'
_space_group_IT_number 1
_space_group_name_Hall 'P 1'
_cell_length_a 4.3033
_cell_length_b 4.3033
_cell_length_c 7.3739
_cell_angle_alpha 106.97
_cell_angle_beta 106.97
_cell_angle_gamma 90.00
loop_
_atom_site_label
_atom_site_type_symbol
_atom_site_fract_x
_atom_site_fract_y
_atom_site_fract_z
P1 P 0.5806 0.5806 0.1612
Tl1 Tl 0.2500 0.7500 0.5000
Tl2 Tl 0.7500 0.2500 0.5000
Pb1 Pb 0.0000 0.0000 0.0000
P2 P 0.4194 0.4194 0.8388
```

TlP2Pb: optimized geometry, GGA-PBEsol.

Values from the calculation:
crystal system = tetragonal
energy above the most stable polymorph in this dataset = 362 meV per atom
E_tot = -4.088 eV/atom
space group = P4/mmm (123)

Geometry as CIF:
```
data_TlP2Pb
_chemical_formula_sum 'Tl1 P2 Pb1'
_space_group_name_H-M_alt 'P 1'
_space_group_IT_number 1
_space_group_name_Hall 'P 1'
_cell_length_a 3.4407
_cell_length_b 5.0090
_cell_length_c 5.0090
_cell_angle_alpha 90.00
_cell_angle_beta 90.00
_cell_angle_gamma 90.00
loop_
_atom_site_label
_atom_site_type_symbol
_atom_site_fract_x
_atom_site_fract_y
_atom_site_fract_z
Tl1 Tl 0.5000 0.0000 0.0000
Pb1 Pb 0.5000 0.5000 0.5000
P1 P 0.0000 0.5000 0.0000
P2 P 0.0000 0.0000 0.5000
```

Tl4PPb: optimized geometry, GGA-PBEsol.

Values from the calculation:
crystal system = cubic
E_tot = -2.980 eV/atom
space group = F-43m (216)

Geometry as CIF:
```
data_Tl4PPb
_chemical_formula_sum 'Tl4 P1 Pb1'
_space_group_name_H-M_alt 'P 1'
_space_group_IT_number 1
_space_group_name_Hall 'P 1'
_cell_length_a 6.1861
_cell_length_b 6.1861
_cell_length_c 6.1861
_cell_angle_alpha 60.00
_cell_angle_beta 60.00
_cell_angle_gamma 60.00
loop_
_atom_site_label
_atom_site_type_symbol
_atom_site_fract_x
_atom_site_fract_y
_atom_site_fract_z
P1 P 0.7500 0.7500 0.7500
Tl1 Tl 0.3754 0.3754 0.8739
Tl2 Tl 0.3754 0.8739 0.3754
Pb1 Pb 0.0000 0.0000 0.0000
Tl3 Tl 0.3754 0.3754 0.3754
Tl4 Tl 0.8739 0.3754 0.3754
```

TlPPb2: optimized geometry, GGA-PBEsol.

Values from the calculation:
crystal system = trigonal
energy above the most stable polymorph in this dataset = 0 meV per atom
E_tot = -4.019 eV/atom
space group = R-3m (166)

Geometry as CIF:
```
data_TlPPb2
_chemical_formula_sum 'Tl1 P1 Pb2'
_space_group_name_H-M_alt 'P 1'
_space_group_IT_number 1
_space_group_name_Hall 'P 1'
_cell_length_a 3.8615
_cell_length_b 3.8615
_cell_length_c 8.7817
_cell_angle_alpha 77.30
_cell_angle_beta 77.30
_cell_angle_gamma 60.00
loop_
_atom_site_label
_atom_site_type_symbol
_atom_site_fract_x
_atom_site_fract_y
_atom_site_fract_z
Pb1 Pb 0.7334 0.7334 0.7997
Pb2 Pb 0.2666 0.2666 0.2003
P1 P 0.0000 0.0000 0.0000
Tl1 Tl 0.5000 0.5000 0.5000
```

TlPPb2: optimized geometry, GGA-PBEsol.

Values from the calculation:
crystal system = tetragonal
energy above the most stable polymorph in this dataset = 128 meV per atom
E_tot = -3.891 eV/atom
space group = P4/mmm (123)

Geometry as CIF:
```
data_TlPPb2
_chemical_formula_sum 'Tl1 P1 Pb2'
_space_group_name_H-M_alt 'P 1'
_space_group_IT_number 1
_space_group_name_Hall 'P 1'
_cell_length_a 4.2014
_cell_length_b 4.9406
_cell_length_c 4.9406
_cell_angle_alpha 90.00
_cell_angle_beta 90.00
_cell_angle_gamma 90.00
loop_
_atom_site_label
_atom_site_type_symbol
_atom_site_fract_x
_atom_site_fract_y
_atom_site_fract_z
Pb1 Pb 0.0000 0.0000 0.5000
Pb2 Pb 0.0000 0.5000 0.0000
P1 P 0.5000 0.0000 0.0000
Tl1 Tl 0.5000 0.5000 0.5000
```

TlP2Pb: optimized geometry, GGA-PBEsol.

Values from the calculation:
crystal system = tetragonal
energy above the most stable polymorph in this dataset = 0 meV per atom
E_tot = -4.450 eV/atom
space group = P4mm (99)

Geometry as CIF:
```
data_TlP2Pb
_chemical_formula_sum 'Tl1 P2 Pb1'
_space_group_name_H-M_alt 'P 1'
_space_group_IT_number 1
_space_group_name_Hall 'P 1'
_cell_length_a 3.1883
_cell_length_b 3.1883
_cell_length_c 9.2493
_cell_angle_alpha 90.00
_cell_angle_beta 90.00
_cell_angle_gamma 90.00
loop_
_atom_site_label
_atom_site_type_symbol
_atom_site_fract_x
_atom_site_fract_y
_atom_site_fract_z
Tl1 Tl 0.5000 0.5000 0.7758
P1 P 0.0000 0.0000 0.1650
P2 P 0.5000 0.5000 0.0910
Pb1 Pb 0.0000 0.0000 0.4681
```

YTlPPb2: optimized geometry, GGA-PBEsol.

Values from the calculation:
crystal system = tetragonal
E_tot = -3.623 eV/atom
space group = P4/mmm (123)

Geometry as CIF:
```
data_YTlPPb2
_chemical_formula_sum 'Y1 Tl1 P1 Pb2'
_space_group_name_H-M_alt 'P 1'
_space_group_IT_number 1
_space_group_name_Hall 'P 1'
_cell_length_a 5.6509
_cell_length_b 5.7357
_cell_length_c 5.7357
_cell_angle_alpha 90.00
_cell_angle_beta 90.00
_cell_angle_gamma 90.00
loop_
_atom_site_label
_atom_site_type_symbol
_atom_site_fract_x
_atom_site_fract_y
_atom_site_fract_z
Y1 Y 0.0000 0.0000 0.0000
P1 P 0.5000 0.5000 0.5000
Pb1 Pb 0.0000 0.0000 0.5000
Pb2 Pb 0.0000 0.5000 0.0000
Tl1 Tl 0.5000 0.0000 0.0000
```

PPbW2: optimized geometry, GGA-PBEsol.

Values from the calculation:
crystal system = tetragonal
energy above the most stable polymorph in this dataset = 175 meV per atom
E_tot = -8.951 eV/atom
space group = P4/mmm (123)

Geometry as CIF:
```
data_PPbW2
_chemical_formula_sum 'P1 Pb1 W2'
_space_group_name_H-M_alt 'P 1'
_space_group_IT_number 1
_space_group_name_Hall 'P 1'
_cell_length_a 3.1046
_cell_length_b 3.1046
_cell_length_c 6.9494
_cell_angle_alpha 90.00
_cell_angle_beta 90.00
_cell_angle_gamma 90.00
loop_
_atom_site_label
_atom_site_type_symbol
_atom_site_fract_x
_atom_site_fract_y
_atom_site_fract_z
Pb1 Pb 0.5000 0.5000 0.5000
W1 W 0.0000 0.0000 0.8140
P1 P 0.5000 0.5000 0.0000
W2 W 0.0000 0.0000 0.1860
```

PPbW2: optimized geometry, GGA-PBEsol.

Values from the calculation:
crystal system = tetragonal
energy above the most stable polymorph in this dataset = 0 meV per atom
E_tot = -9.126 eV/atom
space group = P4mm (99)

Geometry as CIF:
```
data_PPbW2
_chemical_formula_sum 'P1 Pb1 W2'
_space_group_name_H-M_alt 'P 1'
_space_group_IT_number 1
_space_group_name_Hall 'P 1'
_cell_length_a 3.2226
_cell_length_b 3.2226
_cell_length_c 6.5969
_cell_angle_alpha 90.00
_cell_angle_beta 90.00
_cell_angle_gamma 90.00
loop_
_atom_site_label
_atom_site_type_symbol
_atom_site_fract_x
_atom_site_fract_y
_atom_site_fract_z
Pb1 Pb 0.5000 0.5000 0.7516
P1 P 0.0000 0.0000 0.4252
W1 W 0.5000 0.5000 0.2886
W2 W 0.0000 0.0000 0.0346
```

PPbW: optimized geometry, GGA-PBEsol.

Values from the calculation:
crystal system = orthorhombic
E_tot = -7.378 eV/atom
space group = Fmm2 (42)

Geometry as CIF:
```
data_PPbW
_chemical_formula_sum 'P1 Pb1 W1'
_space_group_name_H-M_alt 'P 1'
_space_group_IT_number 1
_space_group_name_Hall 'P 1'
_cell_length_a 2.9775
_cell_length_b 2.9775
_cell_length_c 7.4844
_cell_angle_alpha 97.44
_cell_angle_beta 97.44
_cell_angle_gamma 110.43
loop_
_atom_site_label
_atom_site_type_symbol
_atom_site_fract_x
_atom_site_fract_y
_atom_site_fract_z
P1 P 0.0335 0.0335 0.0669
Pb1 Pb 0.3194 0.3194 0.6388
W1 W 0.6471 0.6471 0.2942
```

YPPb2: optimized geometry, GGA-PBEsol.

Values from the calculation:
crystal system = orthorhombic
E_tot = -5.026 eV/atom
space group = Cmmm (65)

Geometry as CIF:
```
data_YPPb2
_chemical_formula_sum 'Y1 P1 Pb2'
_space_group_name_H-M_alt 'P 1'
_space_group_IT_number 1
_space_group_name_Hall 'P 1'
_cell_length_a 3.4506
_cell_length_b 3.4506
_cell_length_c 9.0566
_cell_angle_alpha 90.00
_cell_angle_beta 90.00
_cell_angle_gamma 109.82
loop_
_atom_site_label
_atom_site_type_symbol
_atom_site_fract_x
_atom_site_fract_y
_atom_site_fract_z
Pb1 Pb 0.0000 0.0000 0.2214
Y1 Y 0.5000 0.5000 0.5000
Pb2 Pb 0.0000 0.0000 0.7786
P1 P 0.5000 0.5000 0.0000
```

YP2Pb: optimized geometry, GGA-PBEsol.

Values from the calculation:
crystal system = tetragonal
E_tot = -6.253 eV/atom
space group = P4/mmm (123)

Geometry as CIF:
```
data_YP2Pb
_chemical_formula_sum 'Y1 P2 Pb1'
_space_group_name_H-M_alt 'P 1'
_space_group_IT_number 1
_space_group_name_Hall 'P 1'
_cell_length_a 3.9844
_cell_length_b 3.9849
_cell_length_c 5.7779
_cell_angle_alpha 90.00
_cell_angle_beta 90.00
_cell_angle_gamma 90.00
loop_
_atom_site_label
_atom_site_type_symbol
_atom_site_fract_x
_atom_site_fract_y
_atom_site_fract_z
Pb1 Pb 0.3743 0.0000 0.0000
Y1 Y 0.8754 0.5000 0.5000
P1 P 0.8747 0.5000 0.0000
P2 P 0.3755 0.0000 0.5000
```

YPPb: optimized geometry, GGA-PBEsol.

Values from the calculation:
crystal system = tetragonal
E_tot = -6.230 eV/atom
space group = I4mm (107)

Geometry as CIF:
```
data_YPPb
_chemical_formula_sum 'Y1 P1 Pb1'
_space_group_name_H-M_alt 'P 1'
_space_group_IT_number 1
_space_group_name_Hall 'P 1'
_cell_length_a 3.7875
_cell_length_b 3.7875
_cell_length_c 6.1248
_cell_angle_alpha 108.01
_cell_angle_beta 108.01
_cell_angle_gamma 90.00
loop_
_atom_site_label
_atom_site_type_symbol
_atom_site_fract_x
_atom_site_fract_y
_atom_site_fract_z
Pb1 Pb 0.3168 0.3168 0.6336
P1 P 0.0696 0.0696 0.1393
Y1 Y 0.6135 0.6135 0.2271
```

Y3PPb: optimized geometry, GGA-PBEsol.

Values from the calculation:
crystal system = orthorhombic
E_tot = -7.014 eV/atom
space group = Pnma (62)

Geometry as CIF:
```
data_Y3PPb
_chemical_formula_sum 'Y12 P4 Pb4'
_space_group_name_H-M_alt 'P 1'
_space_group_IT_number 1
_space_group_name_Hall 'P 1'
_cell_length_a 6.4614
_cell_length_b 7.9676
_cell_length_c 10.2541
_cell_angle_alpha 90.00
_cell_angle_beta 90.00
_cell_angle_gamma 90.00
loop_
_atom_site_label
_atom_site_type_symbol
_atom_site_fract_x
_atom_site_fract_y
_atom_site_fract_z
P1 P 0.5000 0.0000 0.0000
Y1 Y 0.8763 0.4646 0.2500
P2 P 0.0000 0.5000 0.0000
Y2 Y 0.3485 0.3165 0.4453
Y3 Y 0.6515 0.6835 0.9453
Y4 Y 0.1515 0.8165 0.4453
Pb1 Pb 0.5726 0.3902 0.7500
Pb2 Pb 0.0726 0.1098 0.2500
Y5 Y 0.3763 0.0354 0.7500
Y6 Y 0.6515 0.6835 0.5547
P3 P 0.0000 0.5000 0.5000
Y7 Y 0.6237 0.9646 0.2500
Pb3 Pb 0.9274 0.8902 0.7500
Y8 Y 0.8485 0.1835 0.9453
Y9 Y 0.8485 0.1835 0.5547
Pb4 Pb 0.4274 0.6098 0.2500
Y10 Y 0.1515 0.8165 0.0547
Y11 Y 0.1237 0.5354 0.7500
P4 P 0.5000 0.0000 0.5000
Y12 Y 0.3485 0.3165 0.0547
```

YPPb2: optimized geometry, GGA-PBEsol.

Values from the calculation:
crystal system = tetragonal
E_tot = -5.468 eV/atom
space group = P4/mmm (123)

Geometry as CIF:
```
data_YPPb2
_chemical_formula_sum 'Y1 P1 Pb2'
_space_group_name_H-M_alt 'P 1'
_space_group_IT_number 1
_space_group_name_Hall 'P 1'
_cell_length_a 4.2931
_cell_length_b 4.2931
_cell_length_c 5.2737
_cell_angle_alpha 90.00
_cell_angle_beta 90.00
_cell_angle_gamma 90.00
loop_
_atom_site_label
_atom_site_type_symbol
_atom_site_fract_x
_atom_site_fract_y
_atom_site_fract_z
Pb1 Pb 0.0000 0.5000 0.0000
P1 P 0.0000 0.0000 0.5000
Y1 Y 0.5000 0.5000 0.5000
Pb2 Pb 0.5000 0.0000 0.0000
```

YPPb2: optimized geometry, GGA-PBEsol.

Values from the calculation:
crystal system = tetragonal
E_tot = -5.396 eV/atom
space group = I-4m2 (119)

Geometry as CIF:
```
data_YPPb2
_chemical_formula_sum 'Y1 P1 Pb2'
_space_group_name_H-M_alt 'P 1'
_space_group_IT_number 1
_space_group_name_Hall 'P 1'
_cell_length_a 4.6041
_cell_length_b 4.6041
_cell_length_c 5.5930
_cell_angle_alpha 114.30
_cell_angle_beta 114.30
_cell_angle_gamma 90.00
loop_
_atom_site_label
_atom_site_type_symbol
_atom_site_fract_x
_atom_site_fract_y
_atom_site_fract_z
Pb1 Pb 0.7500 0.2500 0.5000
Y1 Y 0.5000 0.5000 0.0000
P1 P 0.2500 0.7500 0.5000
Pb2 Pb 0.0000 0.0000 0.0000
```

YPPb2: optimized geometry, GGA-PBEsol.

Values from the calculation:
crystal system = monoclinic
E_tot = -5.623 eV/atom
space group = C2/m (12)

Geometry as CIF:
```
data_YPPb2
_chemical_formula_sum 'Y1 P1 Pb2'
_space_group_name_H-M_alt 'P 1'
_space_group_IT_number 1
_space_group_name_Hall 'P 1'
_cell_length_a 3.8620
_cell_length_b 3.7722
_cell_length_c 8.0245
_cell_angle_alpha 103.78
_cell_angle_beta 103.92
_cell_angle_gamma 90.00
loop_
_atom_site_label
_atom_site_type_symbol
_atom_site_fract_x
_atom_site_fract_y
_atom_site_fract_z
P1 P 0.5000 0.0000 0.0000
Pb1 Pb 0.8142 0.8143 0.6285
Pb2 Pb 0.1858 0.1857 0.3715
Y1 Y 0.0000 0.5000 0.0000
```

ZnP2Pb: optimized geometry, GGA-PBEsol.

Values from the calculation:
crystal system = monoclinic
E_tot = -3.929 eV/atom
space group = C2/m (12)

Geometry as CIF:
```
data_ZnP2Pb
_chemical_formula_sum 'Zn1 P2 Pb1'
_space_group_name_H-M_alt 'P 1'
_space_group_IT_number 1
_space_group_name_Hall 'P 1'
_cell_length_a 4.6447
_cell_length_b 4.6554
_cell_length_c 4.6554
_cell_angle_alpha 109.42
_cell_angle_beta 109.40
_cell_angle_gamma 109.40
loop_
_atom_site_label
_atom_site_type_symbol
_atom_site_fract_x
_atom_site_fract_y
_atom_site_fract_z
P1 P 0.0000 0.5000 0.0000
Pb1 Pb 0.5000 0.0000 0.0000
P2 P 0.0000 0.0000 0.5000
Zn1 Zn 0.5000 0.5000 0.5000
```